Computed, not measured: a geometry-optimized LiVAg2O4 structure at the GGA+U level of DFT.

Calculated values
Size of the total moment in μB per cell: 0.000
Raw total energy in eV/cell: -45.289

Structure (extended XYZ):
```
8
Lattice="-2.508 2.508 4.427 2.508 -2.508 4.427 2.508 2.508 -4.427" Properties=species:S:1:pos:R:3 pbc="T T T"
Li 0.000 0.000 0.000
V 0.000 2.508 2.213
Ag 2.508 0.000 2.213
Ag 0.000 0.000 4.427
O 1.347 0.835 -1.193
O 1.673 -1.161 5.620
O 1.161 1.673 3.234
O 0.835 3.669 1.193
```